No. 1
Compound: La6PrTl2
Source: Alexandria via LeMat-Bulk
Functional: PBE
Structure: optimized geometry

```
data_La6PrTl2
_chemical_formula_sum 'La6 Pr1 Tl2'
_symmetry_space_group_name_H-M 'P 4/m m m'
_symmetry_Int_Tables_number 123
_symmetry_space_group_name_Hall '-P 4 2'
_cell_length_a 4.9818
_cell_length_b 4.9818
_cell_length_c 12.7315
_cell_angle_alpha 90.00
_cell_angle_beta 90.00
_cell_angle_gamma 90.00
loop_
_atom_site_label
_atom_site_type_symbol
_atom_site_fract_x
_atom_site_fract_y
_atom_site_fract_z
La1 La 0.0000 0.0000 0.0000
La2 La 0.0000 0.5000 0.2166
La3 La 0.5000 0.5000 0.0000
Pr1 Pr 0.0000 0.0000 0.5000
Tl1 Tl 0.5000 0.5000 0.3885
```

Calculated values
- calculated total energy (eV/f.u.) = -39.642
- ΔE to the lowest computed polymorph (meV/atom) = 110



No. 2
Compound: AlAg5Cl8
Source: Alexandria via LeMat-Bulk
Functional: PBE
Structure: optimized geometry

```
data_AlAg5Cl8
_chemical_formula_sum 'Al2 Ag10 Cl16'
_symmetry_space_group_name_H-M 'I -4'
_symmetry_Int_Tables_number 82
_symmetry_space_group_name_Hall 'I -4'
_cell_length_a 8.2605
_cell_length_b 8.2605
_cell_length_c 13.2512
_cell_angle_alpha 90.00
_cell_angle_beta 90.00
_cell_angle_gamma 90.00
loop_
_atom_site_label
_atom_site_type_symbol
_atom_site_fract_x
_atom_site_fract_y
_atom_site_fract_z
Al1 Al 0.0000 0.0000 0.0000
Ag1 Ag 0.0000 0.5000 0.7500
Ag2 Ag 0.1826 0.1860 0.4984
Cl1 Cl 0.0011 0.2386 0.6434
Cl2 Cl 0.0015 0.7805 0.0895
```

Calculated values
- calculated total energy (eV/f.u.) = -43.161
- ΔE_f (raw) (kcal/mol of atoms) = -17.11



No. 3
Compound: BaScAs2
Source: Alexandria via LeMat-Bulk
Functional: PBE
Structure: optimized geometry

```
data_BaScAs2
_chemical_formula_sum 'Ba1 Sc1 As2'
_symmetry_space_group_name_H-M 'P 4/m m m'
_symmetry_Int_Tables_number 123
_symmetry_space_group_name_Hall '-P 4 2'
_cell_length_a 3.7347
_cell_length_b 3.7347
_cell_length_c 7.1259
_cell_angle_alpha 90.00
_cell_angle_beta 90.00
_cell_angle_gamma 90.00
loop_
_atom_site_label
_atom_site_type_symbol
_atom_site_fract_x
_atom_site_fract_y
_atom_site_fract_z
Ba1 Ba 0.0000 0.0000 0.0000
Sc1 Sc 0.0000 0.0000 0.5000
As1 As 0.5000 0.5000 0.3085
```

Calculated values
- calculated total energy (eV/f.u.) = -20.984
- ΔE to the lowest computed polymorph (meV/atom) = 175



No. 4
Compound: Ce7SnHg3
Source: Alexandria via LeMat-Bulk
Functional: PBE
Structure: optimized geometry

```
data_Ce7SnHg3
_chemical_formula_sum 'Ce14 Sn2 Hg6'
_symmetry_space_group_name_H-M 'C 1 2/m 1'
_symmetry_Int_Tables_number 12
_symmetry_space_group_name_Hall '-C 2y'
_cell_length_a 11.1330
_cell_length_b 10.9662
_cell_length_c 5.8251
_cell_angle_alpha 90.00
_cell_angle_beta 115.39
_cell_angle_gamma 90.00
loop_
_atom_site_label
_atom_site_type_symbol
_atom_site_fract_x
_atom_site_fract_y
_atom_site_fract_z
Ce1 Ce 0.0000 0.0000 0.0000
Ce2 Ce 0.1807 0.2540 0.6486
Ce3 Ce 0.1937 0.5000 0.1772
Sn1 Sn 0.0000 0.0000 0.5000
Hg1 Hg 0.0000 0.2764 0.0000
Hg2 Hg 0.0000 0.5000 0.5000
```

Calculated values
- calculated total energy (eV/f.u.) = -48.028



No. 5
Compound: TbHoRh2
Source: Alexandria via LeMat-Bulk
Functional: PBE
Structure: optimized geometry

```
data_TbHoRh2
_chemical_formula_sum 'Tb4 Ho4 Rh8'
_symmetry_space_group_name_H-M 'F m -3 m'
_symmetry_Int_Tables_number 225
_symmetry_space_group_name_Hall '-F 4 2 3'
_cell_length_a 6.8488
_cell_length_b 6.8488
_cell_length_c 6.8488
_cell_angle_alpha 90.00
_cell_angle_beta 90.00
_cell_angle_gamma 90.00
loop_
_atom_site_label
_atom_site_type_symbol
_atom_site_fract_x
_atom_site_fract_y
_atom_site_fract_z
Tb1 Tb 0.0000 0.0000 0.0000
Ho1 Ho 0.0000 0.0000 0.5000
Rh1 Rh 0.2500 0.2500 0.2500
```

Calculated values
- calculated total energy (eV/f.u.) = -27.416
- ΔE to the lowest computed polymorph (meV/atom) = 0



No. 6
Compound: BeGa2I
Source: Alexandria via LeMat-Bulk
Functional: PBE
Structure: optimized geometry

```
data_BeGa2I
_chemical_formula_sum 'Be4 Ga8 I4'
_symmetry_space_group_name_H-M 'I -4 2 d'
_symmetry_Int_Tables_number 122
_symmetry_space_group_name_Hall 'I -4 2bw'
_cell_length_a 5.8356
_cell_length_b 5.8356
_cell_length_c 12.5945
_cell_angle_alpha 90.00
_cell_angle_beta 90.00
_cell_angle_gamma 90.00
loop_
_atom_site_label
_atom_site_type_symbol
_atom_site_fract_x
_atom_site_fract_y
_atom_site_fract_z
Be1 Be 0.0000 0.0000 0.0000
Ga1 Ga 0.1240 0.2500 0.1250
I1 I 0.0000 0.0000 0.5000
```

Calculated values
- calculated total energy (eV/f.u.) = -10.360
- ΔE_f (raw) (kcal/mol of atoms) = 5.59
- ΔE to the lowest computed polymorph (meV/atom) = 0



No. 7
Compound: KFe2P
Source: Alexandria via LeMat-Bulk
Functional: PBE
Structure: optimized geometry

```
data_KFe2P
_chemical_formula_sum 'K2 Fe4 P2'
_symmetry_space_group_name_H-M 'I -4 m 2'
_symmetry_Int_Tables_number 119
_symmetry_space_group_name_Hall 'I -4 -2'
_cell_length_a 4.5796
_cell_length_b 4.5796
_cell_length_c 6.5053
_cell_angle_alpha 90.00
_cell_angle_beta 90.00
_cell_angle_gamma 90.00
loop_
_atom_site_label
_atom_site_type_symbol
_atom_site_fract_x
_atom_site_fract_y
_atom_site_fract_z
K1 K 0.0000 0.0000 0.0000
Fe1 Fe 0.0000 0.0000 0.5000
Fe2 Fe 0.0000 0.5000 0.2500
P1 P 0.0000 0.5000 0.7500
```

Calculated values
- calculated total energy (eV/f.u.) = -19.736



No. 8
Compound: YTlHg2
Source: Alexandria via LeMat-Bulk
Functional: PBE
Structure: optimized geometry

```
data_YTlHg2
_chemical_formula_sum 'Y2 Tl2 Hg4'
_symmetry_space_group_name_H-M 'I m m m'
_symmetry_Int_Tables_number 71
_symmetry_space_group_name_Hall '-I 2 2'
_cell_length_a 3.4273
_cell_length_b 5.5101
_cell_length_c 12.4213
_cell_angle_alpha 90.00
_cell_angle_beta 90.00
_cell_angle_gamma 90.00
loop_
_atom_site_label
_atom_site_type_symbol
_atom_site_fract_x
_atom_site_fract_y
_atom_site_fract_z
Y1 Y 0.0000 0.0000 0.0000
Tl1 Tl 0.0000 0.0000 0.5000
Hg1 Hg 0.0000 0.0000 0.2469
```

Calculated values
- calculated total energy (eV/f.u.) = -9.675



No. 9
Compound: Rb2ZnI
Source: Alexandria via LeMat-Bulk
Functional: PBE
Structure: optimized geometry

```
data_Rb2ZnI
_chemical_formula_sum 'Rb2 Zn1 I1'
_symmetry_space_group_name_H-M 'P 4/m m m'
_symmetry_Int_Tables_number 123
_symmetry_space_group_name_Hall '-P 4 2'
_cell_length_a 4.5081
_cell_length_b 4.5081
_cell_length_c 8.7582
_cell_angle_alpha 90.00
_cell_angle_beta 90.00
_cell_angle_gamma 90.00
loop_
_atom_site_label
_atom_site_type_symbol
_atom_site_fract_x
_atom_site_fract_y
_atom_site_fract_z
Rb1 Rb 0.0000 0.0000 0.2459
Zn1 Zn 0.5000 0.5000 0.5000
I1 I 0.5000 0.5000 0.0000
```

Calculated values
- calculated total energy (eV/f.u.) = -7.034
- ΔE_f (raw) (kcal/mol of atoms) = -13.11
- ΔE to the lowest computed polymorph (meV/atom) = 0



No. 10
Compound: AcErHg5
Source: Alexandria via LeMat-Bulk
Functional: PBE
Structure: optimized geometry

```
data_AcErHg5
_chemical_formula_sum 'Ac2 Er2 Hg10'
_symmetry_space_group_name_H-M 'C m m m'
_symmetry_Int_Tables_number 65
_symmetry_space_group_name_Hall '-C 2 2'
_cell_length_a 6.2584
_cell_length_b 9.1540
_cell_length_c 7.1110
_cell_angle_alpha 90.00
_cell_angle_beta 90.00
_cell_angle_gamma 90.00
loop_
_atom_site_label
_atom_site_type_symbol
_atom_site_fract_x
_atom_site_fract_y
_atom_site_fract_z
Ac1 Ac 0.0000 0.0000 0.0000
Er1 Er 0.0000 0.5000 0.5000
Hg1 Hg 0.0000 0.0000 0.5000
Hg2 Hg 0.2500 0.2500 0.2633
```

Calculated values
- calculated total energy (eV/f.u.) = -12.040



No. 11
Compound: Hf5Au3
Source: Alexandria via LeMat-Bulk
Functional: PBE
Structure: optimized geometry

```
data_Hf5Au3
_chemical_formula_sum 'Hf5 Au3'
_symmetry_space_group_name_H-M 'P 4/m m m'
_symmetry_Int_Tables_number 123
_symmetry_space_group_name_Hall '-P 4 2'
_cell_length_a 3.2545
_cell_length_b 3.2545
_cell_length_c 15.3469
_cell_angle_alpha 90.00
_cell_angle_beta 90.00
_cell_angle_gamma 90.00
loop_
_atom_site_label
_atom_site_type_symbol
_atom_site_fract_x
_atom_site_fract_y
_atom_site_fract_z
Hf1 Hf 0.0000 0.0000 0.0000
Hf2 Hf 0.0000 0.0000 0.2434
Hf3 Hf 0.5000 0.5000 0.3764
Au1 Au 0.0000 0.0000 0.5000
Au2 Au 0.5000 0.5000 0.1244
```

Calculated values
- calculated total energy (eV/f.u.) = -62.979



No. 12
Compound: UP2Pd
Source: Alexandria via LeMat-Bulk
Functional: PBE
Structure: optimized geometry

```
data_UP2Pd
_chemical_formula_sum 'U1 P2 Pd1'
_symmetry_space_group_name_H-M 'P 4/m m m'
_symmetry_Int_Tables_number 123
_symmetry_space_group_name_Hall '-P 4 2'
_cell_length_a 4.3430
_cell_length_b 4.3430
_cell_length_c 3.5357
_cell_angle_alpha 90.00
_cell_angle_beta 90.00
_cell_angle_gamma 90.00
loop_
_atom_site_label
_atom_site_type_symbol
_atom_site_fract_x
_atom_site_fract_y
_atom_site_fract_z
U1 U 0.0000 0.0000 0.0000
P1 P 0.0000 0.5000 0.5000
Pd1 Pd 0.5000 0.5000 0.0000
```

Calculated values
- calculated total energy (eV/f.u.) = -29.853



No. 13
Compound: Sm3Cu8Pd
Source: Alexandria via LeMat-Bulk
Functional: PBE
Structure: optimized geometry

```
data_Sm3Cu8Pd
_chemical_formula_sum 'Sm3 Cu8 Pd1'
_symmetry_space_group_name_H-M 'P 3 m 1'
_symmetry_Int_Tables_number 156
_symmetry_space_group_name_Hall 'P 3 -2"'
_cell_length_a 5.1813
_cell_length_b 5.1813
_cell_length_c 8.5428
_cell_angle_alpha 90.00
_cell_angle_beta 90.00
_cell_angle_gamma 120.00
loop_
_atom_site_label
_atom_site_type_symbol
_atom_site_fract_x
_atom_site_fract_y
_atom_site_fract_z
Sm1 Sm 0.0000 0.0000 0.0000
Sm2 Sm 0.0000 0.0000 0.3956
Sm3 Sm 0.3333 0.6667 0.8358
Cu1 Cu 0.0043 0.5022 0.1898
Cu2 Cu 0.3391 0.1696 0.6794
Cu3 Cu 0.6667 0.3333 0.4354
Cu4 Cu 0.6667 0.3333 0.9429
Pd1 Pd 0.3333 0.6667 0.4771
```

Calculated values
- calculated total energy (eV/f.u.) = -54.781



No. 14
Compound: NdZn6Ru2
Source: Alexandria via LeMat-Bulk
Functional: PBE
Structure: optimized geometry

```
data_NdZn6Ru2
_chemical_formula_sum 'Nd2 Zn12 Ru4'
_symmetry_space_group_name_H-M 'I m m m'
_symmetry_Int_Tables_number 71
_symmetry_space_group_name_Hall '-I 2 2'
_cell_length_a 4.3407
_cell_length_b 6.4659
_cell_length_c 11.1909
_cell_angle_alpha 90.00
_cell_angle_beta 90.00
_cell_angle_gamma 90.00
loop_
_atom_site_label
_atom_site_type_symbol
_atom_site_fract_x
_atom_site_fract_y
_atom_site_fract_z
Nd1 Nd 0.0000 0.0000 0.0000
Zn1 Zn 0.0000 0.1836 0.5000
Zn2 Zn 0.0000 0.1984 0.2831
Ru1 Ru 0.0000 0.5000 0.1141
```

Calculated values
- calculated total energy (eV/f.u.) = -31.293



No. 15
Compound: NbVMo
Source: Alexandria via LeMat-Bulk
Functional: PBE
Structure: optimized geometry

```
data_NbVMo
_chemical_formula_sum 'Nb2 V2 Mo2'
_symmetry_space_group_name_H-M 'P -1'
_symmetry_Int_Tables_number 2
_symmetry_space_group_name_Hall '-P 1'
_cell_length_a 2.7878
_cell_length_b 5.2853
_cell_length_c 6.7519
_cell_angle_alpha 77.66
_cell_angle_beta 82.15
_cell_angle_gamma 80.17
loop_
_atom_site_label
_atom_site_type_symbol
_atom_site_fract_x
_atom_site_fract_y
_atom_site_fract_z
Nb1 Nb 0.0833 0.0825 0.1768
V1 V 0.2613 0.2616 0.4984
Mo1 Mo 0.4210 0.4200 0.8230
```

Calculated values
- calculated total energy (eV/f.u.) = -30.154
- ΔE to the lowest computed polymorph (meV/atom) = 28



No. 16
Compound: MgSbC2
Source: Alexandria via LeMat-Bulk
Functional: PBE
Structure: optimized geometry

```
data_MgSbC2
_chemical_formula_sum 'Mg4 Sb4 C8'
_symmetry_space_group_name_H-M 'I -4 2 d'
_symmetry_Int_Tables_number 122
_symmetry_space_group_name_Hall 'I -4 2bw'
_cell_length_a 5.1573
_cell_length_b 5.1573
_cell_length_c 9.6649
_cell_angle_alpha 90.00
_cell_angle_beta 90.00
_cell_angle_gamma 90.00
loop_
_atom_site_label
_atom_site_type_symbol
_atom_site_fract_x
_atom_site_fract_y
_atom_site_fract_z
Mg1 Mg 0.0000 0.0000 0.0000
Sb1 Sb 0.0000 0.0000 0.5000
C1 C 0.2352 0.2500 0.6250
```

Calculated values
- calculated total energy (eV/f.u.) = -19.868
- ΔE_f (raw) (kcal/mol of atoms) = 24.77
- ΔE to the lowest computed polymorph (meV/atom) = 0



No. 17
Compound: Pr2Cu2Pd5Pt
Source: Alexandria via LeMat-Bulk
Functional: PBE
Structure: optimized geometry

```
data_Pr2Cu2Pd5Pt
_chemical_formula_sum 'Pr4 Cu4 Pd10 Pt2'
_symmetry_space_group_name_H-M 'P 4/m b m'
_symmetry_Int_Tables_number 127
_symmetry_space_group_name_Hall '-P 4 2ab'
_cell_length_a 9.4177
_cell_length_b 9.4177
_cell_length_c 4.0327
_cell_angle_alpha 90.00
_cell_angle_beta 90.00
_cell_angle_gamma 90.00
loop_
_atom_site_label
_atom_site_type_symbol
_atom_site_fract_x
_atom_site_fract_y
_atom_site_fract_z
Pr1 Pr 0.1839 0.3161 0.0000
Cu1 Cu 0.1136 0.6136 0.0000
Pd1 Pd 0.0000 0.5000 0.5000
Pd2 Pd 0.0635 0.7933 0.5000
Pt1 Pt 0.0000 0.0000 0.0000
```

Calculated values
- calculated total energy (eV/f.u.) = -55.257



No. 18
Compound: LaMn2InS
Source: Alexandria via LeMat-Bulk
Functional: PBE
Structure: optimized geometry

```
data_LaMn2InS
_chemical_formula_sum 'La1 Mn2 In1 S1'
_symmetry_space_group_name_H-M 'P 4/m m m'
_symmetry_Int_Tables_number 123
_symmetry_space_group_name_Hall '-P 4 2'
_cell_length_a 4.9601
_cell_length_b 4.9601
_cell_length_c 5.4106
_cell_angle_alpha 90.00
_cell_angle_beta 90.00
_cell_angle_gamma 90.00
loop_
_atom_site_label
_atom_site_type_symbol
_atom_site_fract_x
_atom_site_fract_y
_atom_site_fract_z
La1 La 0.0000 0.0000 0.0000
Mn1 Mn 0.0000 0.5000 0.5000
In1 In 0.5000 0.5000 0.5000
S1 S 0.5000 0.5000 0.0000
```

Calculated values
- calculated total energy (eV/f.u.) = -27.578
- ΔE_f (raw) (kcal/mol of atoms) = 11.78



No. 19
Compound: Ti2RhF
Source: Alexandria via LeMat-Bulk
Functional: PBE
Structure: optimized geometry

```
data_Ti2RhF
_chemical_formula_sum 'Ti8 Rh4 F4'
_symmetry_space_group_name_H-M 'I -4 2 d'
_symmetry_Int_Tables_number 122
_symmetry_space_group_name_Hall 'I -4 2bw'
_cell_length_a 6.0549
_cell_length_b 6.0549
_cell_length_c 6.4139
_cell_angle_alpha 90.00
_cell_angle_beta 90.00
_cell_angle_gamma 90.00
loop_
_atom_site_label
_atom_site_type_symbol
_atom_site_fract_x
_atom_site_fract_y
_atom_site_fract_z
Ti1 Ti 0.1956 0.2500 0.1250
Rh1 Rh 0.0000 0.0000 0.5000
F1 F 0.0000 0.0000 0.0000
```

Calculated values
- calculated total energy (eV/f.u.) = -29.052
- ΔE_f (raw) (kcal/mol of atoms) = -23.29
- ΔE to the lowest computed polymorph (meV/atom) = 0



No. 20
Compound: Ba2HgAu
Source: Alexandria via LeMat-Bulk
Functional: PBE
Structure: optimized geometry

```
data_Ba2HgAu
_chemical_formula_sum 'Ba2 Hg1 Au1'
_symmetry_space_group_name_H-M 'P 4 m m'
_symmetry_Int_Tables_number 99
_symmetry_space_group_name_Hall 'P 4 -2'
_cell_length_a 4.8663
_cell_length_b 4.8663
_cell_length_c 6.9202
_cell_angle_alpha 90.00
_cell_angle_beta 90.00
_cell_angle_gamma 90.00
loop_
_atom_site_label
_atom_site_type_symbol
_atom_site_fract_x
_atom_site_fract_y
_atom_site_fract_z
Ba1 Ba 0.0000 0.0000 0.0000
Ba2 Ba 0.5000 0.5000 0.4990
Hg1 Hg 0.0000 0.0000 0.5003
Au1 Au 0.5000 0.5000 0.9994
```

Calculated values
- calculated total energy (eV/f.u.) = -9.546